[1]
A plane-wave DFT calculation with GGA-PBE was carried out for a geometry-optimized YTmLuIn structure.

Results
**Symmetry**: No. 216
**Formation enthalpy at 0 K**: -0.138 eV per atom

CIF file:
```
data_YTmLuIn
_space_group_name_H-M_alt 'P 1'
_space_group_IT_number 1
_space_group_name_Hall 'P 1'
_cell_length_a 5.397
_cell_length_b 5.397
_cell_length_c 5.397
_cell_angle_alpha 60.00
_cell_angle_beta 60.00
_cell_angle_gamma 60.00
loop_
_atom_site_label
_atom_site_fract_x
_atom_site_fract_y
_atom_site_fract_z
_atom_site_occupancy
Y1 0.000 0.000 0.000 1
Tm1 0.500 0.500 0.500 1
Lu1 0.250 0.250 0.250 1
In1 0.750 0.750 0.750 1
```

=====

[2]
A plane-wave DFT calculation with GGA-PBE was carried out for a geometry-optimized HfTaNb6 structure.

Results
**Symmetry**: No. 38
**Formation enthalpy at 0 K**: 0.016 eV per atom

CIF file:
```
data_HfTaNb6
_space_group_name_H-M_alt 'P 1'
_space_group_IT_number 1
_space_group_name_Hall 'P 1'
_cell_length_a 4.665
_cell_length_b 5.833
_cell_length_c 5.833
_cell_angle_alpha 70.37
_cell_angle_beta 90.00
_cell_angle_gamma 90.00
loop_
_atom_site_label
_atom_site_fract_x
_atom_site_fract_y
_atom_site_fract_z
_atom_site_occupancy
Hf1 0.000 0.000 0.000 1
Ta1 0.500 0.237 0.237 1
Nb1 0.000 0.492 0.492 1
Nb2 0.000 0.500 0.990 1
Nb3 0.000 0.990 0.500 1
Nb4 0.500 0.261 0.728 1
Nb5 0.500 0.728 0.261 1
Nb6 0.500 0.751 0.751 1
```

=====

[3]
A plane-wave DFT calculation with GGA-PBE was carried out for a geometry-optimized Li5MgHg6 structure.

Results
**Symmetry**: No. 12
**Formation enthalpy at 0 K**: -0.350 eV per atom

CIF file:
```
data_Li5MgHg6
_space_group_name_H-M_alt 'P 1'
_space_group_IT_number 1
_space_group_name_Hall 'P 1'
_cell_length_a 8.266
_cell_length_b 8.266
_cell_length_c 4.809
_cell_angle_alpha 106.50
_cell_angle_beta 106.50
_cell_angle_gamma 121.48
loop_
_atom_site_label
_atom_site_fract_x
_atom_site_fract_y
_atom_site_fract_z
_atom_site_occupancy
Li1 0.000 0.000 0.000 1
Li2 0.167 0.833 0.500 1
Li3 0.336 0.664 0.000 1
Li4 0.664 0.336 0.000 1
Li5 0.833 0.167 0.500 1
Mg1 0.500 0.500 0.500 1
Hg1 0.073 0.416 0.244 1
Hg2 0.239 0.239 0.738 1
Hg3 0.416 0.073 0.244 1
Hg4 0.584 0.927 0.756 1
Hg5 0.761 0.761 0.262 1
Hg6 0.927 0.584 0.756 1
```

=====

[4]
A plane-wave DFT calculation with GGA-PBE was carried out for a geometry-optimized KBa2N structure.

Results
**Symmetry**: No. 166
**ΔE_f (raw)**: -255.9 meV per atom

CIF file:
```
data_KBa2N
_space_group_name_H-M_alt 'P 1'
_space_group_IT_number 1
_space_group_name_Hall 'P 1'
_cell_length_a 12.102
_cell_length_b 12.102
_cell_length_c 12.102
_cell_angle_alpha 19.51
_cell_angle_beta 19.51
_cell_angle_gamma 19.51
loop_
_atom_site_label
_atom_site_fract_x
_atom_site_fract_y
_atom_site_fract_z
_atom_site_occupancy
K1 0.000 0.000 0.000 1
Ba1 0.125 0.125 0.125 1
Ba2 0.875 0.875 0.875 1
N1 0.500 0.500 0.500 1
```

=====

no.,density of states at the Fermi level (states/eV/f.u.)
1,6.1
2,13.4
3,3.9
4,3.4